La2CdMoF | the Alexandria database | PBE+U | optimized geometry; space group = No. 123; final energy = -3.580 eV/atom; density = 4.3 g/cm3
1.0
6.0049 0.0000 0.0000
0.0000 5.4101 0.0000
0.0000 0.0000 6.0049
Cd La F Mo
1 2 1 1
Direct
0.0000 0.0000 0.0000 Cd
0.0000 0.0000 0.5000 La
0.5000 0.0000 0.0000 La
0.5000 0.5000 0.5000 F
0.0000 0.5000 0.0000 Mo